[1]
TaBeP2, relaxed, DFT PBE-GGA; SG = No. 38; density = 7.5 Mg/m³; ΔH_f (0 K) = -0.450 eV/atom; E = -28.20 eV/f.u.
1.0
3.4610 0.0000 0.0000
0.0000 1.6689 4.8558
0.0000 -1.6689 4.8558
Ta Be P
1 1 2
Cartesian
0.0000 0.0000 0.0000
1.7305 0.0000 1.9102
0.0000 0.0000 6.8050
1.7305 0.0000 3.9996

***

[2]
TaBe2P, relaxed, DFT PBE-GGA; SG = No. 166; density = 7.2 Mg/m³; ΔH_f (0 K) = 0.336 eV/atom; E = -23.37 eV/f.u.
1.0
1.4079 0.8129 7.6738
-1.4079 0.8129 7.6738
0.0000 -1.6257 7.6738
Ta Be P
1 2 1
Cartesian
0.0000 0.0000 0.0000
0.0000 0.0000 5.5043
0.0000 0.0000 17.5171
0.0000 0.0000 11.5107